Version a
## RbInBiPb (GGA-PBE)

Data for RbInBiPb after structural relaxation.

Results
The crystal system is cubic. The calculated density is 7.37 g/cm3. The spin magnetization is 0.0 μB per formula unit.

Cell lengths 8.221, 8.221, 8.221 Å; angles 90.00, 90.00, 90.00 degrees
Space group F-43m (No. 216)
Asymmetric unit:
Rb 0.000 0.000 0.000 x4
In 0.250 0.250 0.750 x4
Bi 0.000 0.000 0.500 x4
Pb 0.250 0.250 0.250 x4

---

Version b
## RbInBiPb (GGA-PBE)

Data for RbInBiPb after structural relaxation.

Results
The crystal system is trigonal. The calculated density is 6.11 g/cm3. The spin magnetization is 0.0 μB per formula unit.

Cell lengths 5.3688, 5.3688, 20.1448 Å; angles 90.00, 90.00, 120.00 degrees
Space group R3m (No. 160, hexagonal axes)
Asymmetric unit:
Rb 0.0000 0.0000 0.0000 x3
In 0.0000 0.0000 0.5332 x3
Bi 0.0000 0.0000 0.7951 x3
Pb 0.0000 0.0000 0.1979 x3

---

It comes down to version b, which is 70 meV/atom more stable than the next structure.